Below is a relaxed TaIn4Pt crystal, with properties calculated at the GGA-PBE level.

Calculated values
* ρ: 10.612 g/cm3
* ΔH_f (0 K): 727 meV per atom
* N(E_F): 0.948 states/eV per atom

abc: 5.697 5.697 5.697
angles: 60.00 60.00 60.00
Last column: magnetic moment on the atom in μB.
Element x y z (fractional)
In 0.375 0.875 0.375  0.00
In 0.375 0.375 0.375  0.00
In 0.875 0.375 0.375  0.00
In 0.375 0.375 0.875  0.00
Pt 0.750 0.750 0.750  0.08
Ta 0.000 0.000 0.000  0.49